Entry 1:
{
  "formula": "AcPm2Er6",
  "functional": "PBE",
  "state": "optimized geometry",
  "cell": [[5.5773, -3.3757, 0.0000], [5.5773, 3.3757, 0.0000], [-2.9345, 0.0000, 8.2806]],
  "species": ["Ac", "Pm", "Pm", "Er", "Er", "Er", "Er", "Er", "Er"],
  "frac_coords": [[0.0000, 0.0000, 0.0000], [0.2377, 0.2377, 0.7939], [0.7623, 0.7623, 0.2061], [0.1393, 0.6615, 0.5966], [0.3277, 0.3277, 0.2357], [0.3385, 0.8607, 0.4034], [0.6615, 0.1393, 0.5966], [0.6723, 0.6723, 0.7643], [0.8607, 0.3385, 0.4034]],
  "dos_ef_per_ev_fu": 12.7,
  "e_tot_ev_per_atom": -4.3642,
  "delta_e_f_ev_per_atom": 0.19
}

=====

Entry 2:
{
  "formula": "Ac3Pm2Er",
  "functional": "PBE",
  "state": "optimized geometry",
  "cell": [[4.7705, -5.3169, 0.0000], [4.7705, 5.3169, 0.0000], [-1.8426, 0.0000, 9.2316]],
  "species": ["Ac", "Ac", "Ac", "Ac", "Ac", "Ac", "Pm", "Pm", "Pm", "Pm", "Er", "Er"],
  "frac_coords": [[0.0534, 0.9466, 0.7500], [0.2060, 0.3689, 0.0225], [0.3689, 0.2060, 0.5225], [0.6311, 0.7940, 0.4775], [0.7940, 0.6311, 0.9775], [0.9466, 0.0534, 0.2500], [0.1162, 0.6143, 0.3816], [0.3857, 0.8838, 0.1184], [0.6143, 0.1162, 0.8816], [0.8838, 0.3857, 0.6184], [0.3769, 0.6231, 0.7500], [0.6231, 0.3769, 0.2500]],
  "dos_ef_per_ev_fu": 8.3,
  "e_tot_ev_per_atom": -4.2747,
  "delta_e_f_ev_per_atom": 0.12
}